No. 1
Density functional theory data (PBE-GGA) for a relaxed SnBRh3 crystal.

Cell: 7.3376 7.3376 7.3376 Å, 40.96 40.96 40.96°
Fractional coordinates of all 10 atoms:
Sn  0.1668  0.1668  0.1668
Sn  0.8332  0.8332  0.8332
B  0.3358  0.3358  0.3358
B  0.6642  0.6642  0.6642
Rh  0.0551  0.3942  0.7326
Rh  0.2674  0.9449  0.6058
Rh  0.3942  0.7326  0.0551
Rh  0.6058  0.2674  0.9449
Rh  0.7326  0.0551  0.3942
Rh  0.9449  0.6058  0.2674

Calculated values
**Total DFT energy (no corrections)**: -67.69 eV/cell
**ΔH_f (0 K)**: -0.222 eV per atom


No. 2
Density functional theory data (PBE-GGA) for a relaxed RbGe2PdO6 crystal.

Cell: 7.4599 7.4599 5.8701 Å, 100.49 100.49 89.60°
Fractional coordinates of all 20 atoms:
Rb  0.0943  0.9057  0.7500
Rb  0.9057  0.0943  0.2500
Ge  0.1998  0.3773  0.8636
Ge  0.3773  0.1998  0.3636
Ge  0.6227  0.8002  0.6364
Ge  0.8002  0.6227  0.1364
Pd  0.2926  0.7074  0.2500
Pd  0.7074  0.2926  0.7500
O  0.0073  0.7317  0.2810
O  0.2153  0.6140  0.9050
O  0.2683  0.9927  0.2190
O  0.2756  0.3648  0.1820
O  0.3648  0.2756  0.6820
O  0.3860  0.7847  0.5950
O  0.6140  0.2153  0.4050
O  0.6352  0.7244  0.3180
O  0.7244  0.6352  0.8180
O  0.7317  0.0073  0.7810
O  0.7847  0.3860  0.0950
O  0.9927  0.2683  0.7190

Calculated values
**Formation energy from raw total energies**: -1.174 eV per atom
**Total DFT energy (no corrections)**: -113.77 eV/cell


No. 3
Density functional theory data (PBE-GGA) for a relaxed Tm8CuTe4Se3 crystal.

Cell: 8.4364 8.4364 8.4364 Å, 58.86 58.86 58.86°
Fractional coordinates of all 16 atoms:
Tm  0.2401  0.2401  0.2401
Tm  0.2582  0.7278  0.7278
Tm  0.2722  0.2722  0.7418
Tm  0.2722  0.7418  0.2722
Tm  0.7278  0.2582  0.7278
Tm  0.7278  0.7278  0.2582
Tm  0.7418  0.2722  0.2722
Tm  0.7599  0.7599  0.7599
Cu  0.5000  0.5000  0.5000
Te  0.0000  0.0000  0.0000
Te  0.0000  0.5000  0.5000
Te  0.5000  0.0000  0.5000
Te  0.5000  0.5000  0.0000
Se  0.0000  0.0000  0.5000
Se  0.0000  0.5000  0.0000
Se  0.5000  0.0000  0.0000

Calculated values
**Formation energy from raw total energies**: -1.284 eV per atom
**Total DFT energy (no corrections)**: -83.44 eV/cell


No. 4
Density functional theory data (PBE-GGA) for a relaxed SrCa2GeH crystal.

Cell: 4.9292 4.9292 4.9764 Å, 90.00 90.00 90.00°
Fractional coordinates of all 5 atoms:
Sr  0.0000  0.0000  0.0000
Ca  0.0000  0.5000  0.5000
Ca  0.5000  0.0000  0.5000
Ge  0.5000  0.5000  0.0000
H  0.0000  0.0000  0.5000

Calculated values
**Total DFT energy (no corrections)**: -15.37 eV/cell


No. 5
Density functional theory data (PBE-GGA) for a relaxed SrSi3H crystal.

Cell: 5.8062 5.8062 5.8062 Å, 90.00 90.00 90.00°
Fractional coordinates of all 5 atoms:
Sr  0.0000  0.0000  0.0000
Si  0.0000  0.0000  0.5000
Si  0.0000  0.5000  0.0000
Si  0.5000  0.0000  0.0000
H  0.5000  0.5000  0.5000

Calculated values
**Total DFT energy (no corrections)**: -10.81 eV/cell
**Excess energy over the best structure of this formula in the dataset**: 1762 meV/atom


No. 6
Density functional theory data (PBE-GGA) for a relaxed ZnRuBr2 crystal.

Cell: 3.3690 6.6394 10.0555 Å, 90.00 90.00 90.00°
Fractional coordinates of all 8 atoms:
Zn  0.0000  0.0000  0.0000
Zn  0.5000  0.5000  0.0000
Ru  0.0000  0.0000  0.5000
Ru  0.5000  0.5000  0.5000
Br  0.0000  0.5000  0.3162
Br  0.0000  0.5000  0.6838
Br  0.5000  0.0000  0.3162
Br  0.5000  0.0000  0.6838

Calculated values
**Formation energy from raw total energies**: 0.414 eV per atom
**Total DFT energy (no corrections)**: -24.48 eV/cell
**Excess energy over the best structure of this formula in the dataset**: 461 meV/atom


No. 7
Density functional theory data (PBE-GGA) for a relaxed BeTlAsO4 crystal.

Cell: 5.3511 5.3511 7.4736 Å, 90.00 90.00 90.00°
Fractional coordinates of all 14 atoms:
Be  0.0000  0.0000  0.0000
Be  0.5000  0.5000  0.5000
Tl  0.0000  0.5000  0.7500
Tl  0.5000  0.0000  0.2500
As  0.0000  0.5000  0.2500
As  0.5000  0.0000  0.7500
O  0.0792  0.2492  0.1186
O  0.2492  0.9208  0.8814
O  0.2508  0.5792  0.3814
O  0.4208  0.2508  0.6186
O  0.5792  0.7492  0.6186
O  0.7492  0.4208  0.3814
O  0.7508  0.0792  0.8814
O  0.9208  0.7508  0.1186

Calculated values
**Formation energy from raw total energies**: -1.583 eV per atom
**Total DFT energy (no corrections)**: -83.31 eV/cell
**Excess energy over the best structure of this formula in the dataset**: 61 meV/atom


No. 8
Density functional theory data (PBE-GGA) for a relaxed NaVPCl2 crystal.

Cell: 4.9697 4.9697 4.6133 Å, 90.00 90.00 90.00°
Fractional coordinates of all 5 atoms:
Na  0.0000  0.0000  0.0000
V  0.5000  0.5000  0.5000
P  0.5000  0.5000  0.0000
Cl  0.0000  0.5000  0.5000
Cl  0.5000  0.0000  0.5000

Calculated values
**Formation energy from raw total energies**: -0.674 eV per atom
**Total DFT energy (no corrections)**: -22.91 eV/cell
**Excess energy over the best structure of this formula in the dataset**: 0 meV/atom


Q: Which value of total DFT energy (no corrections) does entry 2 give?
A: -113.77 eV/cell


Q: total DFT energy (no corrections) of number 3 (Tm8CuTe4Se3)?
A: -83.44 eV/cell